DFT (PBE-GGA) results for crystalline LiTaMo3 at its relaxed geometry.

```
data_LiTaMo3
_chemical_formula_sum 'Li1 Ta1 Mo3'
_cell_length_a 4.277
_cell_length_b 4.277
_cell_length_c 4.277
_cell_angle_alpha 90.00
_cell_angle_beta 90.00
_cell_angle_gamma 90.00
_symmetry_space_group_name_H-M 'P m -3 m'
_symmetry_Int_Tables_number 221
_symmetry_space_group_name_Hall '-P 4 2 3'
loop_
_atom_site_label
_atom_site_type_symbol
_atom_site_fract_x
_atom_site_fract_y
_atom_site_fract_z
Li1 Li 0.000 0.000 0.000
Ta1 Ta 0.500 0.500 0.500
Mo1 Mo 0.000 0.000 0.500
```

Calculated values
relative energy among the computed polymorphs	0.00	eV/f.u.
Fermi-level density of states	5.6	states/eV per cell
formation energy	5.8	eV per formula unit